Entry 1:
LiSb2Ir after structural relaxation, computed with PBEsol.

The structure in POSCAR format:
```
LiSb2Ir
1.0
7.841 0.000 0.000
0.000 3.823 0.000
-1.362 0.000 5.470
Li Sb Ir
2 4 2
Cartesian
0.000 0.000 0.000
3.920 1.911 0.000
0.821 0.000 3.890
1.738 1.911 1.579
4.742 1.911 3.890
5.658 0.000 1.579
-0.681 1.911 2.735
3.240 0.000 2.735
```

As for the energy above the most stable polymorph in this dataset: 0.0 meV/atom. The raw formation energy comes out at -0.22 eV/atom. The total magnetization is 0.00 μB/f.u.

Entry 2:
Li2ScIr after structural relaxation, computed with PBEsol.

The structure in POSCAR format:
```
Li2ScIr
1.0
3.154 0.000 0.000
0.000 4.223 0.000
0.000 0.000 9.538
Li Sc Ir
4 2 2
Cartesian
0.000 0.000 2.151
0.000 0.000 7.387
1.577 2.112 2.618
1.577 2.112 6.920
0.000 2.112 0.000
1.577 0.000 4.769
0.000 2.112 4.769
1.577 0.000 0.000
```

The total magnetization is 0.00 μB/f.u. Its energy of formation is -0.320 eV per atom.

Entry 3:
LiSc2Ir after structural relaxation, computed with PBEsol.

The structure in POSCAR format:
```
LiSc2Ir
1.0
2.939 0.000 0.000
-1.469 2.545 0.000
0.000 0.000 30.525
Li Sc Ir
3 6 3
Cartesian
0.000 0.000 0.000
0.000 1.697 20.350
1.469 0.848 10.175
0.000 0.000 12.824
0.000 0.000 17.701
0.000 1.697 2.649
0.000 1.697 7.526
1.469 0.848 22.999
1.469 0.848 27.876
0.000 0.000 15.263
0.000 1.697 5.088
1.469 0.848 25.438
```

The total magnetization is 0.00 μB/f.u. Its energy of formation is 0.229 eV per atom.

Entry 4:
LiSc2Ir after structural relaxation, computed with PBEsol.

The structure in POSCAR format:
```
LiSc2Ir
1.0
7.221 0.000 0.000
0.000 7.221 0.000
0.000 0.000 5.802
Li Sc Ir
4 8 4
Cartesian
0.000 0.000 0.000
0.000 3.611 1.451
3.611 0.000 4.352
3.611 3.611 2.901
1.638 5.416 3.626
1.805 1.638 2.176
1.805 1.972 5.077
1.972 5.416 0.725
5.249 1.805 0.725
5.416 5.249 5.077
5.416 5.583 2.176
5.583 1.805 3.626
0.000 0.000 2.901
0.000 3.611 4.352
3.611 0.000 1.451
3.611 3.611 0.000
```

The total magnetization is 0.00 μB/f.u. Its energy of formation is -0.105 eV per atom.

Entry 5:
Li2IrSe after structural relaxation, computed with PBEsol.

The structure in POSCAR format:
```
Li2IrSe
1.0
3.222 0.000 0.000
0.000 4.121 0.000
0.000 0.000 8.218
Li Ir Se
4 2 2
Cartesian
0.000 0.000 1.992
0.000 0.000 6.226
1.611 2.060 2.117
1.611 2.060 6.101
0.000 2.060 0.000
1.611 0.000 4.109
0.000 2.060 4.109
1.611 0.000 0.000
```

The raw formation energy comes out at -0.30 eV/atom. The total magnetization is 0.00 μB/f.u.

Entry 6:
Li2IrSe after structural relaxation, computed with PBEsol.

The structure in POSCAR format:
```
Li2IrSe
1.0
5.038 0.000 0.000
0.000 7.991 0.000
0.000 0.000 2.768
Li Ir Se
4 2 2
Cartesian
1.260 1.998 0.000
1.260 5.994 0.000
3.779 1.998 0.000
3.779 5.994 0.000
0.000 0.000 1.384
2.519 3.996 1.384
0.000 3.996 1.384
2.519 0.000 1.384
```

The raw formation energy comes out at -0.30 eV/atom. The total magnetization is 0.00 μB/f.u.

Entry 7:
Li2IrSe after structural relaxation, computed with PBEsol.

The structure in POSCAR format:
```
Li2IrSe
1.0
2.825 0.000 0.000
0.000 3.897 0.000
0.000 0.000 5.029
Li Ir Se
2 1 1
Cartesian
0.000 0.000 1.204
0.000 0.000 3.825
1.412 1.949 0.000
1.412 1.949 2.515
```

The raw formation energy comes out at -0.31 eV/atom. The total magnetization is 0.00 μB/f.u.

Entry 8:
Li2IrSe after structural relaxation, computed with PBEsol.

The structure in POSCAR format:
```
Li2IrSe
1.0
7.158 0.000 0.000
0.000 4.168 0.000
-2.398 0.000 4.157
Li Ir Se
4 2 2
Cartesian
0.000 0.000 0.000
0.001 0.000 2.837
3.579 2.084 0.000
3.580 2.084 2.837
2.391 0.000 1.362
5.970 2.084 1.362
1.209 2.084 1.448
4.788 0.000 1.448
```

The raw formation energy comes out at -0.37 eV/atom. The total magnetization is 0.00 μB/f.u.

Entry 9:
LiIrSe2 after structural relaxation, computed with PBEsol.

The structure in POSCAR format:
```
LiIrSe2
1.0
4.565 0.000 0.000
0.000 4.565 0.000
0.000 0.000 2.971
Li Ir Se
1 1 2
Cartesian
0.000 0.000 0.000
2.282 2.282 0.000
0.000 2.282 1.485
2.282 0.000 1.485
```

The raw formation energy comes out at -0.19 eV/atom. The total magnetization is 0.00 μB/f.u.

Entry 10:
Li2IrSe after structural relaxation, computed with PBEsol.

The structure in POSCAR format:
```
Li2IrSe
1.0
3.851 0.000 0.000
0.000 3.851 0.000
0.000 0.000 7.133
Li Ir Se
4 2 2
Cartesian
0.000 0.000 0.000
0.000 1.925 1.783
1.925 0.000 5.350
1.925 1.925 3.567
0.000 1.925 5.350
1.925 0.000 1.783
0.000 0.000 3.567
1.925 1.925 0.000
```

The raw formation energy comes out at -0.29 eV/atom. The total magnetization is 0.00 μB/f.u.

Entry 11:
LiIr2Se after structural relaxation, computed with PBEsol.

The structure in POSCAR format:
```
LiIr2Se
1.0
5.376 0.000 0.000
0.000 9.161 0.000
-1.338 0.000 2.345
Li Ir Se
2 4 2
Cartesian
0.000 0.000 0.000
2.688 4.580 0.000
1.344 2.290 0.000
1.344 6.870 0.000
4.032 2.290 0.000
4.032 6.870 0.000
0.000 4.580 0.000
2.688 0.000 0.000
```

The raw formation energy comes out at 0.07 eV/atom. The total magnetization is 0.00 μB/f.u.

Entry 12:
Li2IrSe after structural relaxation, computed with PBEsol.

The structure in POSCAR format:
```
Li2IrSe
1.0
3.705 0.000 0.000
0.000 3.705 0.000
0.000 0.000 3.902
Li Ir Se
2 1 1
Cartesian
0.000 1.852 0.000
1.852 0.000 0.000
0.000 0.000 1.951
1.852 1.852 1.951
```

The raw formation energy comes out at -0.32 eV/atom. The total magnetization is 0.00 μB/f.u.

Entry 13:
Li2IrSe2 after structural relaxation, computed with PBEsol.

The structure in POSCAR format:
```
Li2IrSe2
1.0
6.654 0.000 0.000
0.000 6.654 0.000
0.000 0.000 3.677
Li Ir Se
4 2 4
Cartesian
0.967 2.359 0.000
2.359 5.686 0.000
4.294 0.967 0.000
5.686 4.294 0.000
0.000 0.000 1.838
3.327 3.327 1.838
1.115 4.442 1.838
2.212 1.115 1.838
4.442 5.538 1.838
5.538 2.212 1.838
```

The raw formation energy comes out at -0.48 eV/atom. The total magnetization is 0.00 μB/f.u.

Entry 14:
LiIrSe2 after structural relaxation, computed with PBEsol.

The structure in POSCAR format:
```
LiIrSe2
1.0
3.773 0.000 0.000
-1.887 3.268 0.000
0.000 0.000 17.728
Li Ir Se
3 3 6
Cartesian
0.000 0.000 0.000
0.000 2.178 11.818
1.887 1.089 5.909
0.000 0.000 8.864
0.000 2.178 2.955
1.887 1.089 14.773
0.000 0.000 4.188
0.000 0.000 13.539
0.000 2.178 7.630
0.000 2.178 16.007
1.887 1.089 1.721
1.887 1.089 10.098
```

The raw formation energy comes out at -0.56 eV/atom. The total magnetization is 0.00 μB/f.u.

Entry 15:
Li2IrSe after structural relaxation, computed with PBEsol.

The structure in POSCAR format:
```
Li2IrSe
1.0
2.910 0.000 0.000
0.000 4.453 0.000
-0.019 0.000 4.475
Li Ir Se
2 1 1
Cartesian
0.000 0.000 0.000
0.009 2.227 3.277
1.457 0.000 2.166
1.459 2.227 1.223
```

The raw formation energy comes out at -0.30 eV/atom. The total magnetization is 0.00 μB/f.u.

Entry 16:
LiSi2Ir after structural relaxation, computed with PBEsol.

The structure in POSCAR format:
```
LiSi2Ir
1.0
3.649 0.000 0.000
0.000 3.649 0.000
0.000 0.000 16.511
Li Si Ir
4 8 4
Cartesian
0.000 0.000 0.000
0.000 1.825 4.128
1.825 0.000 12.384
1.825 1.825 8.256
0.839 0.912 2.064
0.912 2.664 6.192
0.912 2.810 14.448
0.986 0.912 10.320
2.664 2.737 10.320
2.737 0.839 14.448
2.737 0.986 6.192
2.810 2.737 2.064
0.000 0.000 8.256
0.000 1.825 12.384
1.825 0.000 4.128
1.825 1.825 0.000
```

As for the energy above the most stable polymorph in this dataset: 458.9 meV/atom. The raw formation energy comes out at -0.06 eV/atom. The total magnetization is 0.00 μB/f.u.

Entry 17:
Li2SiIr after structural relaxation, computed with PBEsol.

The structure in POSCAR format:
```
Li2SiIr
1.0
8.456 0.000 0.000
0.000 2.922 0.000
-1.566 0.000 4.257
Li Si Ir
4 2 2
Cartesian
0.000 0.000 0.000
0.695 0.000 3.679
4.228 1.461 0.000
4.923 1.461 3.679
3.420 0.000 1.938
7.648 1.461 1.938
1.590 1.461 1.677
5.818 0.000 1.677
```

The raw formation energy comes out at -0.45 eV/atom. The total magnetization is 0.00 μB/f.u.

Entry 18:
Li2SiIr after structural relaxation, computed with PBEsol.

The structure in POSCAR format:
```
Li2SiIr
1.0
3.489 0.000 0.000
0.000 3.489 0.000
0.000 0.000 8.393
Li Si Ir
4 2 2
Cartesian
0.000 1.744 2.098
0.000 1.744 6.295
1.744 0.000 2.098
1.744 0.000 6.295
0.000 0.000 0.000
1.744 1.744 4.196
0.000 0.000 4.196
1.744 1.744 0.000
```

The raw formation energy comes out at -0.35 eV/atom. The total magnetization is 0.00 μB/f.u.

Entry 19:
LiSi2Ir after structural relaxation, computed with PBEsol.

The structure in POSCAR format:
```
LiSi2Ir
1.0
5.869 0.000 0.000
0.000 5.869 0.000
0.000 0.000 5.869
Li Si Ir
4 8 4
Cartesian
0.000 0.000 0.000
0.000 2.934 2.934
2.934 0.000 2.934
2.934 2.934 0.000
1.467 1.467 1.467
1.467 1.467 4.402
1.467 4.402 1.467
1.467 4.402 4.402
4.402 1.467 1.467
4.402 1.467 4.402
4.402 4.402 1.467
4.402 4.402 4.402
0.000 0.000 2.934
0.000 2.934 0.000
2.934 0.000 0.000
2.934 2.934 2.934
```

As for the energy above the most stable polymorph in this dataset: 0.0 meV/atom. The raw formation energy comes out at -0.52 eV/atom. The total magnetization is 0.00 μB/f.u.

Entry 20:
LiSi2Ir after structural relaxation, computed with PBEsol.

The structure in POSCAR format:
```
LiSi2Ir
1.0
2.885 0.000 0.000
0.000 3.502 0.000
0.000 0.000 5.015
Li Si Ir
1 2 1
Cartesian
0.000 0.000 0.000
0.000 0.000 2.525
1.443 1.751 1.123
1.443 1.751 3.623
```

As for the energy above the most stable polymorph in this dataset: 169.4 meV/atom. The raw formation energy comes out at -0.35 eV/atom. The total magnetization is 0.00 μB/f.u.

Entry 21:
Li2SiIr after structural relaxation, computed with PBEsol.

The structure in POSCAR format:
```
Li2SiIr
1.0
2.852 0.000 0.000
0.000 3.991 0.000
0.000 0.000 8.832
Li Si Ir
4 2 2
Cartesian
0.000 0.000 2.207
0.000 0.000 6.625
1.426 1.995 2.209
1.426 1.995 6.624
0.000 1.995 0.000
1.426 0.000 4.416
0.000 1.995 4.416
1.426 0.000 0.000
```

The raw formation energy comes out at -0.43 eV/atom. The total magnetization is 0.00 μB/f.u.

Entry 22:
Li2SiIr after structural relaxation, computed with PBEsol.

The structure in POSCAR format:
```
Li2SiIr
1.0
2.897 0.000 0.000
0.000 4.691 0.000
0.000 0.000 8.717
Li Si Ir
4 2 2
Cartesian
0.000 0.000 0.000
0.000 2.345 2.636
1.448 0.000 2.636
1.448 2.345 0.000
0.000 0.000 4.711
1.448 2.345 4.711
0.000 2.345 6.594
1.448 0.000 6.594
```

The raw formation energy comes out at -0.12 eV/atom. The total magnetization is 0.00 μB/f.u.

Entry 23:
Li2SnIr after structural relaxation, computed with PBEsol.

The structure in POSCAR format:
```
Li2SnIr
1.0
3.773 0.000 0.000
0.000 3.773 0.000
0.000 0.000 19.148
Li Sn Ir
8 4 4
Cartesian
0.827 0.943 2.393
0.943 2.714 7.180
0.943 2.946 16.754
1.059 0.943 11.967
2.714 2.830 11.967
2.830 0.827 16.754
2.830 1.059 7.180
2.946 2.830 2.393
0.000 0.000 9.574
0.000 1.887 14.361
1.887 0.000 4.787
1.887 1.887 0.000
0.000 0.000 0.000
0.000 1.887 4.787
1.887 0.000 14.361
1.887 1.887 9.574
```

The total magnetization is 0.00 μB/f.u. Its energy of formation is -0.021 eV per atom.

Entry 24:
LiSn3Ir after structural relaxation, computed with PBEsol.

The structure in POSCAR format:
```
LiSn3Ir
1.0
5.139 0.000 0.000
0.000 5.139 0.000
0.000 0.000 5.139
Li Sn Ir
1 3 1
Cartesian
0.000 0.000 0.000
0.000 2.570 2.570
2.570 0.000 2.570
2.570 2.570 0.000
2.570 2.570 2.570
```

The total magnetization is 0.00 μB/f.u. Its energy of formation is 0.194 eV per atom.

Entry 25:
Li2SnIr after structural relaxation, computed with PBEsol.

The structure in POSCAR format:
```
Li2SnIr
1.0
6.210 0.000 0.000
0.000 6.210 0.000
0.000 0.000 6.210
Li Sn Ir
8 4 4
Cartesian
0.000 0.000 0.000
0.000 3.105 3.105
1.552 1.552 1.552
1.552 4.657 4.657
3.105 0.000 3.105
3.105 3.105 0.000
4.657 1.552 4.657
4.657 4.657 1.552
1.552 1.552 4.657
1.552 4.657 1.552
4.657 1.552 1.552
4.657 4.657 4.657
0.000 0.000 3.105
0.000 3.105 0.000
3.105 0.000 0.000
3.105 3.105 3.105
```

The total magnetization is 0.00 μB/f.u. Its energy of formation is -0.400 eV per atom.

Entry 26:
Li3SnIr after structural relaxation, computed with PBEsol.

The structure in POSCAR format:
```
Li3SnIr
1.0
4.549 0.000 0.000
0.000 4.549 0.000
0.000 0.000 4.549
Li Sn Ir
3 1 1
Cartesian
0.000 0.000 2.275
0.000 2.275 0.000
2.275 0.000 0.000
2.275 2.275 2.275
0.000 0.000 0.000
```

The total magnetization is 0.00 μB/f.u. Its energy of formation is 0.421 eV per atom.

Entry 27:
Li2TiSnIr after structural relaxation, computed with PBEsol.

The structure in POSCAR format:
```
Li2TiSnIr
1.0
4.398 0.000 0.000
0.000 4.398 0.000
0.000 0.000 5.078
Li Ti Sn Ir
2 1 1 1
Cartesian
0.000 2.199 0.000
2.199 0.000 0.000
0.000 0.000 2.539
0.000 0.000 0.000
2.199 2.199 2.539
```

The total magnetization is 0.02 μB/f.u. Its energy of formation is 1.027 eV per atom.

Entry 28:
Sr3LiIr after structural relaxation, computed with PBEsol.

The structure in POSCAR format:
```
Sr3LiIr
1.0
5.800 0.000 0.000
0.000 5.800 0.000
0.000 0.000 5.800
Sr Li Ir
3 1 1
Cartesian
0.000 0.000 2.900
0.000 2.900 0.000
2.900 0.000 0.000
2.900 2.900 2.900
0.000 0.000 0.000
```

The total magnetization is 0.00 μB/f.u. Its energy of formation is -0.031 eV per atom.

Entry 29:
SrLi2Ir after structural relaxation, computed with PBEsol.

The structure in POSCAR format:
```
SrLi2Ir
1.0
6.794 0.000 0.000
0.000 6.794 0.000
0.000 0.000 6.794
Sr Li Ir
4 8 4
Cartesian
0.000 0.000 0.000
0.000 3.397 3.397
3.397 0.000 3.397
3.397 3.397 0.000
0.000 0.000 3.397
0.000 3.397 0.000
1.698 1.698 5.095
1.698 5.095 1.698
3.397 0.000 0.000
3.397 3.397 3.397
5.095 1.698 1.698
5.095 5.095 5.095
1.698 1.698 1.698
1.698 5.095 5.095
5.095 1.698 5.095
5.095 5.095 1.698
```

The total magnetization is 0.00 μB/f.u. Its energy of formation is 0.159 eV per atom.